VASP calculation (PBE) on a relaxed NdY3Tm2Te6 crystal.

abc: 4.3295 8.8047 9.7386
angles: 101.84 102.84 90.00
With the nearest neighbours (Å) after each atom.
Positions (direct):
Tm  0.8364  0.6681  0.6728  6 Te 2.96-3.10
Tm  0.1636  0.3319  0.3272  6 Te 2.96-3.10
Y  0.5000  0.5000  0.0000  6 Te 3.04-3.15
Y  0.1582  0.8360  0.3164  6 Te 3.02-3.14
Y  0.8418  0.1640  0.6836  6 Te 3.02-3.14
Te  0.0040  0.2597  0.0079  1 Tm 2.96, 3 Y 3.02-3.04, 2 Nd 3.14
Te  0.6696  0.5836  0.3391  3 Tm 3.08-3.10, 3 Y 3.14-3.15
Te  0.6733  0.0933  0.3465  2 Tm 3.05, 3 Y 3.10-3.13, 1 Nd 3.22
Te  0.3304  0.4164  0.6609  3 Tm 3.08-3.10, 3 Y 3.14-3.15
Te  0.3267  0.9067  0.6535  2 Tm 3.05, 3 Y 3.10-3.13, 1 Nd 3.22
Te  0.9960  0.7403  0.9921  1 Tm 2.96, 3 Y 3.02-3.04, 2 Nd 3.14
Nd  0.5000  0.0000  0.0000  6 Te 3.14-3.22

SG: No. 12
Uncorrected formation energy in meV/atom: -1283


VASP calculation (PBE) on a relaxed LaBeSe3 crystal.

abc: 4.7473 4.7473 4.7473
angles: 90.00 90.00 90.00
With the nearest neighbours (Å) after each atom.
Positions (direct):
Se  0.5000  0.0000  0.0000  2 Be 2.37
Se  0.0000  0.0000  0.5000  2 Be 2.37
Se  0.0000  0.5000  0.0000  2 Be 2.37
La  0.5000  0.5000  0.5000  12 Se 3.36
Be  0.0000  0.0000  0.0000  6 Se 2.37

SG: No. 221
Uncorrected formation energy in meV/atom: -921


VASP calculation (PBE) on a relaxed Ga4Tc crystal.

abc: 5.0099 5.0099 5.0099
angles: 109.47 109.47 109.47
With the nearest neighbours (Å) after each atom.
Positions (direct):
Ga  0.0000  0.5000  0.0000  2 Tc 2.50
Ga  0.0000  0.0000  0.5000  2 Tc 2.50
Ga  0.5000  0.5000  0.5000  2 Tc 2.50
Ga  0.5000  0.0000  0.0000  2 Tc 2.50
Tc  0.0000  0.0000  0.0000  8 Ga 2.50

SG: No. 229
DFT formation energy in eV per formula unit: -1.092


VASP calculation (PBE) on a relaxed CuReP2 crystal.

abc: 7.3085 7.3085 7.3085
angles: 23.72 23.72 23.72
With the nearest neighbours (Å) after each atom.
Positions (direct):
P  0.0001  0.0001  0.0001  3 Cu 2.34, 3 P 2.47
P  0.2511  0.2511  0.2511  3 Re 2.37, 3 P 2.47
Cu  0.7403  0.7403  0.7403  3 P 2.34
Re  0.5086  0.5086  0.5086  3 P 2.37

SG: No. 160
DFT formation energy in eV per formula unit: 0.867


VASP calculation (PBE) on a relaxed SrIn4Tc crystal.

abc: 5.9194 5.9194 5.9194
angles: 60.00 60.00 60.00
With the nearest neighbours (Å) after each atom.
Positions (direct):
In  0.8770  0.3743  0.3743  6 In 2.94-2.98
In  0.3743  0.8770  0.3743  6 In 2.94-2.98
In  0.3743  0.3743  0.8770  6 In 2.94-2.98
In  0.3743  0.3743  0.3743  6 In 2.94-2.98
Sr  0.7500  0.7500  0.7500  12 In 3.47, 4 Tc 3.62
Tc  0.0000  0.0000  0.0000  12 In 3.47, 4 Sr 3.62

SG: No. 216
DFT formation energy in eV per formula unit: 1.956


VASP calculation (PBE) on a relaxed RbBi2P2 crystal.

abc: 5.3055 5.3055 6.7461
angles: 66.84 66.84 90.00
With the nearest neighbours (Å) after each atom.
Positions (direct):
P  0.2500  0.7500  0.5000  4 Bi 2.84
P  0.7500  0.2500  0.5000  4 Bi 2.84
Bi  0.3402  0.3402  0.3196  4 P 2.84
Bi  0.6598  0.6598  0.6804  4 P 2.84
Rb  0.0000  0.0000  0.0000  10 Bi 3.82-4.16, 8 P 3.86

SG: No. 139
DFT formation energy in eV per formula unit: -0.269


VASP calculation (PBE) on a relaxed PmYMgPt crystal.

abc: 5.1588 5.1588 5.1588
angles: 60.00 60.00 60.00
With the nearest neighbours (Å) after each atom.
Positions (direct):
Y  0.2500  0.2500  0.2500  4 Pt 3.16, 4 Mg 3.16
Pm  0.7500  0.7500  0.7500  4 Mg 3.16, 4 Pt 3.16
Pt  0.5000  0.5000  0.5000  4 Pm 3.16, 4 Y 3.16
Mg  0.0000  0.0000  0.0000  4 Y 3.16, 4 Pm 3.16

SG: No. 216
DFT formation energy in eV per formula unit: -2.224


VASP calculation (PBE) on a relaxed RbIr2O6 crystal.

abc: 7.2186 7.2186 7.2186
angles: 60.00 60.00 60.00
With the nearest neighbours (Å) after each atom.
Positions (direct):
O  0.0550  0.4450  0.4450  2 Ir 1.94
O  0.4450  0.0550  0.4450  2 Ir 1.94
O  0.4450  0.4450  0.0550  2 Ir 1.94
O  0.1950  0.1950  0.8050  2 Ir 1.94
O  0.8050  0.1950  0.1950  2 Ir 1.94
O  0.4450  0.0550  0.0550  2 Ir 1.94
O  0.0550  0.4450  0.0550  2 Ir 1.94
O  0.1950  0.8050  0.8050  2 Ir 1.94
O  0.0550  0.0550  0.4450  2 Ir 1.94
O  0.8050  0.8050  0.1950  2 Ir 1.94
O  0.1950  0.8050  0.1950  2 Ir 1.94
O  0.8050  0.1950  0.8050  2 Ir 1.94
Rb  0.5000  0.5000  0.5000  6 O 3.11
Rb  0.7500  0.7500  0.7500  6 O 3.11
Ir  0.1250  0.1250  0.1250  6 O 1.94
Ir  0.1250  0.1250  0.6250  6 O 1.94
Ir  0.1250  0.6250  0.1250  6 O 1.94
Ir  0.6250  0.1250  0.1250  6 O 1.94

SG: No. 227
Uncorrected formation energy in meV/atom: -905


The total magnetic moment results, record by record, are as follows: 0.000; 0.000; 0.000; 0.000; 1.029; 0.000; 0.000; 0.694 μB/f.u..